[1]
First-principles (GGA-PBE) data for crystalline Zn3InAgS5 at its relaxed geometry, as listed in the Alexandria database.

Structure (CIF):
```
data_Zn3InAgS5
_cell_length_a 6.494
_cell_length_b 6.853
_cell_length_c 10.484
_cell_angle_alpha 108.99
_cell_angle_beta 90.01
_cell_angle_gamma 90.03
_space_group_name_H-M_alt 'P 1'
_space_group_IT_number 1
loop_
_space_group_symop_operation_xyz
'x,y,z'
loop_
_atom_site_label
_atom_site_fract_x
_atom_site_fract_y
_atom_site_fract_z
_atom_site_occupancy
Zn1 0.000 0.000 0.000 1
Zn2 0.000 0.197 0.386 1
Zn3 0.001 0.387 0.786 1
Zn4 0.493 0.128 0.582 1
Zn5 0.499 0.525 0.388 1
Zn6 0.506 0.945 0.200 1
In1 0.001 0.795 0.594 1
In2 0.501 0.326 0.990 1
Ag1 0.002 0.605 0.189 1
Ag2 0.504 0.731 0.793 1
S1 0.363 0.996 0.007 1
S2 0.364 0.373 0.779 1
S3 0.367 0.204 0.392 1
S4 0.385 0.798 0.577 1
S5 0.396 0.612 0.197 1
S6 0.864 0.519 0.395 1
S7 0.865 0.137 0.586 1
S8 0.866 0.955 0.194 1
S9 0.885 0.313 0.976 1
S10 0.897 0.725 0.804 1
```

Properties
The crystal system is triclinic. For the raw formation energy, the calculation gives -0.64 eV per atom.


[2]
First-principles (GGA-PBE) data for crystalline Sb2As2Rh at its relaxed geometry, as listed in the Alexandria database.

Structure (CIF):
```
data_Sb2As2Rh
_cell_length_a 3.556
_cell_length_b 3.556
_cell_length_c 17.747
_cell_angle_alpha 90.00
_cell_angle_beta 90.00
_cell_angle_gamma 90.00
_space_group_name_H-M_alt 'I 4/m m m'
_space_group_IT_number 139
_space_group_name_Hall '-I 4 2'
loop_
_atom_site_label
_atom_site_fract_x
_atom_site_fract_y
_atom_site_fract_z
_atom_site_occupancy
Sb1 0.000 0.000 0.085 1
As1 0.000 0.500 0.250 1
Rh1 0.000 0.000 0.500 1
```

Properties
The crystal system is tetragonal. The excess energy over the best structure of this formula in the dataset comes out at 0.0000 eV/atom. For the raw formation energy, the calculation gives 0.16 eV per atom.


[3]
First-principles (GGA-PBE) data for crystalline ZrMn2FeI at its relaxed geometry, as listed in the Alexandria database.

Structure (CIF):
```
data_ZrMn2FeI
_cell_length_a 4.724
_cell_length_b 4.724
_cell_length_c 4.566
_cell_angle_alpha 90.00
_cell_angle_beta 90.00
_cell_angle_gamma 90.00
_space_group_name_H-M_alt 'P 4/m m m'
_space_group_IT_number 123
_space_group_name_Hall '-P 4 2'
loop_
_atom_site_label
_atom_site_fract_x
_atom_site_fract_y
_atom_site_fract_z
_atom_site_occupancy
Zr1 0.000 0.000 0.000 1
Mn1 0.000 0.500 0.500 1
Fe1 0.500 0.500 0.000 1
I1 0.500 0.500 0.500 1
```

Properties
The crystal system is tetragonal. For the raw formation energy, the calculation gives 1.25 eV per atom.


[4]
First-principles (GGA-PBE) data for crystalline K2RbAcCl6 at its relaxed geometry, as listed in the Alexandria database.

Structure (CIF):
```
data_K2RbAcCl6
_cell_length_a 7.839
_cell_length_b 8.300
_cell_length_c 13.590
_cell_angle_alpha 90.00
_cell_angle_beta 123.74
_cell_angle_gamma 90.00
_space_group_name_H-M_alt 'P 1 21/c 1'
_space_group_IT_number 14
loop_
_space_group_symop_operation_xyz
'x,y,z'
'-x,-y,-z'
'-x,y+1/2,-z+1/2'
'x,-y+1/2,z+1/2'
loop_
_atom_site_label
_atom_site_fract_x
_atom_site_fract_y
_atom_site_fract_z
_atom_site_occupancy
K1 0.210 0.070 0.239 1
Rb1 0.000 0.000 0.500 1
Ac1 0.500 0.000 0.000 1
Cl1 0.138 0.180 0.933 1
Cl2 0.236 0.719 0.906 1
Cl3 0.423 0.083 0.771 1
```

Properties
The crystal system is monoclinic. For the raw formation energy, the calculation gives -2.16 eV per atom.


[5]
First-principles (GGA-PBE) data for crystalline LaSiIr2 at its relaxed geometry, as listed in the Alexandria database.

Structure (CIF):
```
data_LaSiIr2
_cell_length_a 4.354
_cell_length_b 4.354
_cell_length_c 3.857
_cell_angle_alpha 90.00
_cell_angle_beta 90.00
_cell_angle_gamma 90.00
_space_group_name_H-M_alt 'P 4/m m m'
_space_group_IT_number 123
_space_group_name_Hall '-P 4 2'
loop_
_atom_site_label
_atom_site_fract_x
_atom_site_fract_y
_atom_site_fract_z
_atom_site_occupancy
La1 0.000 0.000 0.000 1
Si1 0.500 0.500 0.000 1
Ir1 0.000 0.500 0.500 1
```

Properties
The crystal system is tetragonal. For the raw formation energy, the calculation gives -0.23 eV per atom.


[6]
First-principles (GGA-PBE) data for crystalline La2Pm5Nd6 at its relaxed geometry, as listed in the Alexandria database.

Structure (CIF):
```
data_La2Pm5Nd6
_cell_length_a 12.009
_cell_length_b 20.993
_cell_length_c 3.689
_cell_angle_alpha 90.00
_cell_angle_beta 90.00
_cell_angle_gamma 90.00
_space_group_name_H-M_alt 'P b a m'
_space_group_IT_number 55
loop_
_space_group_symop_operation_xyz
'x,y,z'
'-x,-y,-z'
'-x,-y,z'
'x,y,-z'
'x+1/2,-y+1/2,-z'
'-x+1/2,y+1/2,z'
'-x+1/2,y+1/2,-z'
'x+1/2,-y+1/2,z'
loop_
_atom_site_label
_atom_site_fract_x
_atom_site_fract_y
_atom_site_fract_z
_atom_site_occupancy
La1 0.172 0.219 0.000 1
Pm1 0.000 0.500 0.500 1
Pm2 0.088 0.780 0.500 1
Pm3 0.200 0.056 0.500 1
Nd1 0.061 0.924 0.000 1
Nd2 0.077 0.636 0.000 1
Nd3 0.180 0.373 0.500 1
```

Properties
The crystal system is orthorhombic. For the formation energy, the calculation gives 0.0892 eV/atom.


[7]
First-principles (GGA-PBE) data for crystalline ThTaNbSi2 at its relaxed geometry, as listed in the Alexandria database.

Structure (CIF):
```
data_ThTaNbSi2
_cell_length_a 4.108
_cell_length_b 4.108
_cell_length_c 11.628
_cell_angle_alpha 90.00
_cell_angle_beta 90.00
_cell_angle_gamma 90.00
_space_group_name_H-M_alt 'I -4 m 2'
_space_group_IT_number 119
_space_group_name_Hall 'I -4 -2'
loop_
_atom_site_label
_atom_site_fract_x
_atom_site_fract_y
_atom_site_fract_z
_atom_site_occupancy
Th1 0.000 0.000 0.000 1
Ta1 0.000 0.500 0.750 1
Nb1 0.000 0.500 0.250 1
Si1 0.000 0.000 0.395 1
```

Properties
The crystal system is tetragonal. For the raw formation energy, the calculation gives -0.65 eV per atom.


[8]
First-principles (GGA-PBE) data for crystalline SbRh2S at its relaxed geometry, as listed in the Alexandria database.

Structure (CIF):
```
data_SbRh2S
_cell_length_a 4.845
_cell_length_b 4.845
_cell_length_c 13.689
_cell_angle_alpha 90.00
_cell_angle_beta 90.00
_cell_angle_gamma 90.00
_space_group_name_H-M_alt 'I -4 2 d'
_space_group_IT_number 122
_space_group_name_Hall 'I -4 2bw'
loop_
_atom_site_label
_atom_site_fract_x
_atom_site_fract_y
_atom_site_fract_z
_atom_site_occupancy
Sb1 0.000 0.000 0.000 1
Rh1 0.171 0.250 0.625 1
S1 0.000 0.000 0.500 1
```

Properties
The crystal system is tetragonal. The excess energy over the best structure of this formula in the dataset comes out at 0.0000 eV/atom. For the raw formation energy, the calculation gives -0.24 eV per atom.